VASP calculation (PBE) on an optimized crystal structure of Ca3Ho2TaN6.

Lattice parameters (Å, degrees): 5.866 5.866 5.967 99.47 99.47 120.01
Positions (direct):
Ca 0.164 0.836 0.500
Ca 0.836 0.164 0.500
Ca 0.500 0.500 0.500
Ho 0.333 0.667 0.000
Ho 0.667 0.333 0.000
Ta 0.000 0.000 0.000
N 0.927 0.621 0.780
N 0.767 0.767 0.216
N 0.073 0.379 0.220
N 0.621 0.927 0.780
N 0.233 0.233 0.784
N 0.379 0.073 0.220

Raw total energy ... -92.3 eV/cell
ΔE_f (raw) ... -123 kJ per mole of atoms
Theoretical density ... 7.1 Mg/m³
Space group ... C2/m (12)



VASP calculation (PBE) on an optimized crystal structure of CaHo2TcN4.

Lattice parameters (Å, degrees): 3.434 6.101 11.676 90.00 90.00 106.35
Positions (direct):
Ca 0.115 0.229 0.750
Ca 0.885 0.771 0.250
Ho 0.369 0.739 0.536
Ho 0.631 0.261 0.036
Ho 0.631 0.261 0.464
Ho 0.369 0.739 0.964
Tc 0.849 0.698 0.750
Tc 0.151 0.302 0.250
N 0.259 0.517 0.123
N 0.741 0.483 0.623
N 0.741 0.483 0.877
N 0.259 0.517 0.377
N 0.000 0.000 0.500
N 0.000 0.000 0.000
N 0.432 0.863 0.750
N 0.568 0.137 0.250

Raw total energy ... -125.5 eV/cell
ΔE_f (raw) ... -95 kJ per mole of atoms
Theoretical density ... 7.4 Mg/m³
Space group ... Cmcm (63)



VASP calculation (PBE) on an optimized crystal structure of CaHoTh2N4.

Lattice parameters (Å, degrees): 3.618 6.264 6.150 109.71 90.00 90.00
Positions (direct):
Ca 0.500 0.500 0.000
Ho 0.000 0.000 0.000
Th 0.500 0.000 0.500
Th 0.000 0.500 0.500
N 0.500 0.245 0.252
N 0.500 0.755 0.748
N 0.000 0.238 0.736
N 0.000 0.762 0.264

Raw total energy ... -66.8 eV/cell
ΔE_f (raw) ... -145 kJ per mole of atoms
Theoretical density ... 9.2 Mg/m³
Space group ... P2/m (10)



VASP calculation (PBE) on an optimized crystal structure of Ca4HoU3N8.

Lattice parameters (Å, degrees): 6.975 6.985 6.975 119.96 120.00 90.00
Last column: magnetic moment on the atom in μB.
Positions (direct):
Ca 0.500 0.000 0.000  0.04
Ca 0.500 0.000 0.500  0.05
Ca 0.000 0.000 0.000  0.05
Ca 0.000 0.000 0.500  0.05
Ho 0.000 0.500 0.000  0.11
U 0.500 0.500 0.000  1.43
U 0.500 0.500 0.500  1.44
U 0.000 0.500 0.500  1.44
N 0.245 0.713 0.969  -0.06
N 0.245 0.713 0.489  -0.06
N 0.261 0.283 0.522  -0.07
N 0.724 0.713 0.969  -0.06
N 0.276 0.287 0.031  -0.06
N 0.739 0.717 0.478  -0.07
N 0.755 0.287 0.511  -0.06
N 0.755 0.287 0.031  -0.06

Raw total energy ... -134.7 eV/cell
ΔE_f (raw) ... -130 kJ per mole of atoms
Theoretical density ... 8.0 Mg/m³
Space group ... R-3m (166)



VASP calculation (PBE) on an optimized crystal structure of Ca3Ho2UN6.

Lattice parameters (Å, degrees): 6.010 6.010 6.045 99.57 99.57 120.01
Positions (direct):
Ca 0.167 0.833 0.500
Ca 0.833 0.167 0.500
Ca 0.500 0.500 0.500
Ho 0.333 0.667 0.000
Ho 0.667 0.333 0.000
U 0.000 0.000 0.000
N 0.927 0.616 0.780
N 0.763 0.763 0.215
N 0.073 0.384 0.220
N 0.616 0.927 0.780
N 0.237 0.237 0.785
N 0.384 0.073 0.220

Raw total energy ... -94.0 eV/cell
ΔE_f (raw) ... -141 kJ per mole of atoms
Theoretical density ... 7.2 Mg/m³
Space group ... C2/m (12)



VASP calculation (PBE) on an optimized crystal structure of Ca3HoU2N6.

Lattice parameters (Å, degrees): 3.505 7.002 7.756 103.18 103.06 90.00
Last column: magnetic moment on the atom in μB.
Positions (direct):
Ca 0.500 0.500 0.000  0.03
Ca 0.834 0.166 0.668  0.04
Ca 0.166 0.834 0.332  0.04
Ho 0.500 0.000 0.000  0.06
U 0.835 0.671 0.671  1.33
U 0.165 0.329 0.329  1.33
N 0.337 0.892 0.674  -0.05
N 0.677 0.562 0.354  -0.07
N 0.663 0.108 0.326  -0.05
N 0.014 0.247 0.029  -0.04
N 0.986 0.753 0.971  -0.04
N 0.323 0.438 0.646  -0.07

Raw total energy ... -99.6 eV/cell
ΔE_f (raw) ... -133 kJ per mole of atoms
Theoretical density ... 7.8 Mg/m³
Space group ... C2/m (12)



VASP calculation (PBE) on an optimized crystal structure of Ca3Ho2WN6.

Lattice parameters (Å, degrees): 5.820 5.820 5.925 99.47 99.47 119.99
Positions (direct):
Ca 0.164 0.836 0.500
Ca 0.836 0.164 0.500
Ca 0.500 0.500 0.500
Ho 0.333 0.667 0.000
Ho 0.667 0.333 0.000
W 0.000 0.000 0.000
N 0.928 0.628 0.783
N 0.772 0.772 0.213
N 0.072 0.372 0.217
N 0.628 0.928 0.783
N 0.228 0.228 0.787
N 0.372 0.072 0.217

Raw total energy ... -92.6 eV/cell
ΔE_f (raw) ... -117 kJ per mole of atoms
Theoretical density ... 7.3 Mg/m³
Space group ... C2/m (12)



VASP calculation (PBE) on an optimized crystal structure of Ca3HoZr2N6.

Lattice parameters (Å, degrees): 5.859 5.859 5.983 99.40 99.40 120.03
Positions (direct):
Ca 0.167 0.833 0.500
Ca 0.833 0.167 0.500
Ca 0.500 0.500 0.500
Ho 0.000 0.000 0.000
Zr 0.333 0.667 0.000
Zr 0.667 0.333 0.000
N 0.927 0.580 0.781
N 0.727 0.727 0.221
N 0.073 0.420 0.219
N 0.580 0.927 0.781
N 0.273 0.273 0.779
N 0.420 0.073 0.219

Raw total energy ... -93.9 eV/cell
ΔE_f (raw) ... -131 kJ per mole of atoms
Theoretical density ... 5.5 Mg/m³
Space group ... C2/m (12)



VASP calculation (PBE) on an optimized crystal structure of NaCaHo.

Lattice parameters (Å, degrees): 3.644 3.644 9.296 90.00 90.00 120.00
Positions (direct):
Na 0.333 0.667 0.674
Ca 0.667 0.333 0.323
Ho 0.000 0.000 0.003

Raw total energy ... -7.4 eV/cell
Energy of formation from the pure elements ... 52 kJ/mol of formula units
Theoretical density ... 3.5 Mg/m³
Space group ... P3m1 (156)



VASP calculation (PBE) on an optimized crystal structure of NaCaHo.

Lattice parameters (Å, degrees): 3.718 3.718 18.173 84.13 84.13 60.00
Positions (direct):
Ho 0.309 0.309 0.074
Ho 0.691 0.691 0.926
Na 0.138 0.138 0.586
Na 0.862 0.862 0.414
Ca 0.413 0.413 0.761
Ca 0.587 0.587 0.239

Raw total energy ... -15.5 eV/cell
Energy of formation from the pure elements ... 16 kJ/mol of formula units
Theoretical density ... 3.5 Mg/m³
Space group ... R-3m (166)



VASP calculation (PBE) on an optimized crystal structure of Na2CaHo.

Lattice parameters (Å, degrees): 3.544 3.544 13.659 82.55 82.55 60.00
Positions (direct):
Na 0.085 0.085 0.745
Na 0.915 0.915 0.255
Ca 0.500 0.500 0.500
Ho 0.000 0.000 0.000

Raw total energy ... -8.1 eV/cell
Energy of formation from the pure elements ... 112 kJ/mol of formula units
Theoretical density ... 2.8 Mg/m³
Space group ... R-3m (166)



VASP calculation (PBE) on an optimized crystal structure of NaCaHo2S4.

Lattice parameters (Å, degrees): 3.935 6.806 6.952 108.99 90.00 90.00
Positions (direct):
Na 0.000 0.000 0.000
Ca 0.500 0.500 0.000
Ho 0.500 0.000 0.500
Ho 0.000 0.500 0.500
S 0.500 0.257 0.265
S 0.500 0.743 0.735
S 0.000 0.247 0.740
S 0.000 0.753 0.260

Raw total energy ... -44.6 eV/cell
ΔE_f (raw) ... -188 kJ per mole of atoms
Theoretical density ... 4.9 Mg/m³
Space group ... P2/m (10)



What is the theoretical density in the third record? 9.2 Mg/m³



theoretical density of number 2 (CaHo2TcN4)? 7.4 Mg/m³



Among the records above, which one has the highest raw total energy? number 9



Repeat the ninth record exactly.
VASP calculation (PBE) on an optimized crystal structure of NaCaHo.

Lattice parameters (Å, degrees): 3.644 3.644 9.296 90.00 90.00 120.00
Positions (direct):
Na 0.333 0.667 0.674
Ca 0.667 0.333 0.323
Ho 0.000 0.000 0.003

Raw total energy ... -7.4 eV/cell
Energy of formation from the pure elements ... 52 kJ/mol of formula units
Theoretical density ... 3.5 Mg/m³
Space group ... P3m1 (156)